A plane-wave DFT calculation with GGA-PBE was carried out for a relaxed Pm4AgRuAu2 crystal.

## Properties
- Space-group type: No. 166
- Energy of formation from the pure elements: -4.1 eV/f.u.
- Total moment: 0.00 Bohr magnetons per cell
- Fermi-level density of states: 6.29 states/eV per cell

Structure (POSCAR):
```
Pm4AgRuAu2
1.0
2.5931 1.4971 8.3790
-2.5931 1.4971 8.3790
0.0000 -2.9942 8.3790
Pm Ag Ru Au
4 1 1 2
direct
0.1173 0.1173 0.1173
0.3681 0.3681 0.3681
0.6319 0.6319 0.6319
0.8827 0.8827 0.8827
0.5000 0.5000 0.5000
0.0000 0.0000 0.0000
0.2425 0.2425 0.2425
0.7575 0.7575 0.7575
```